1.
Compound: K2LiMo
Source: Alexandria via LeMat-Bulk
Functional: PBE
Structure: relaxed

a = 13.558 Å, b = 2.911 Å, c = 6.732 Å
α = 90.00°, β = 106.22°, γ = 90.00°
Space group Cm (No. 8)
Inequivalent atoms, fractional coordinates:
K: 0.000 0.000 0.000 x2
K: 0.200 0.000 0.606 x2
Li: 0.415 0.000 0.429 x2
Mo: 0.265 0.500 0.142 x2

- formation enthalpy at 0 K (kJ/mol of formula units) = 410
- polymorph energy (0 for the lowest one) (kJ/mol of atoms) = 4.7
- calculated total energy (eV/atom) = -2.672


2.
Compound: NaTcO3
Source: Alexandria via LeMat-Bulk
Functional: PBE
Structure: relaxed

a = 5.749 Å, b = 14.553 Å, c = 5.066 Å
α = 90.00°, β = 90.00°, γ = 90.00°
Space group Cmcm (No. 63)
Inequivalent atoms, fractional coordinates:
Na: 0.000 0.193 0.250 x4
Tc: 0.000 0.407 0.250 x4
O: 0.000 0.500 0.000 x4
O: 0.247 0.333 0.250 x8

- calculated total energy (eV/atom) = -6.591


3.
Compound: LaGdMgIr
Source: Alexandria via LeMat-Bulk
Functional: PBE
Structure: relaxed

a = 7.318 Å, b = 7.318 Å, c = 7.318 Å
α = 90.00°, β = 90.00°, γ = 90.00°
Space group F-43m (No. 216)
Inequivalent atoms, fractional coordinates:
La: 0.000 0.000 0.000 x4
Gd: 0.000 0.000 0.500 x4
Mg: 0.250 0.250 0.250 x4
Ir: 0.250 0.250 0.750 x4

- formation enthalpy at 0 K (kJ/mol of formula units) = -134
- calculated total energy (eV/atom) = -7.714